An optimized crystal structure of YMn2Ag. Source: the Alexandria database, functional PBE-GGA.

* distance to the lowest polymorph of the same formula: 0.153 eV/atom
* ΔH_f (0 K): 0.27 eV/atom
* density: 7.010 g/cm3

a = 4.210 Å, b = 4.210 Å, c = 4.098 Å
α = 90.00°, β = 90.00°, γ = 90.00°
Sites, in units of the cell vectors:
Y: 0.000 0.000 0.000
Mn: 0.000 0.500 0.500
Mn: 0.500 0.000 0.500
Ag: 0.500 0.500 0.000